Crystalline LaSc2InH at its relaxed geometry. Source: the Alexandria database, functional PBE.

a = 4.7610 Å, b = 4.7610 Å, c = 4.6603 Å
α = 90.00°, β = 90.00°, γ = 90.00°
Positions (direct):
Sc 0.5000 0.0000 0.0000
Sc 0.0000 0.5000 0.0000
H 0.0000 0.0000 0.0000
In 0.5000 0.5000 0.5000
La 0.0000 0.0000 0.5000

Calculated values
total moment = 0.00 Bohr magnetons per cell
energy = -5.08 eV per atom

Crystalline La2InSiH at its relaxed geometry. Source: the Alexandria database, functional PBE.

a = 4.9197 Å, b = 4.5592 Å, c = 4.9197 Å
α = 90.00°, β = 90.00°, γ = 90.00°
Positions (direct):
La 0.0000 0.0000 0.5000
La 0.5000 0.0000 0.0000
H 0.0000 0.0000 0.0000
In 0.0000 0.5000 0.0000
Si 0.5000 0.5000 0.5000

Calculated values
total moment = 0.00 Bohr magnetons per cell
energy = -4.63 eV per atom

Crystalline La4InSnH at its relaxed geometry. Source: the Alexandria database, functional PBE.

a = 6.7892 Å, b = 6.7763 Å, c = 9.6115 Å
α = 90.00°, β = 110.68°, γ = 90.00°
Positions (direct):
La 0.5000 0.5000 0.5000
La 0.0000 0.5000 0.5000
La 0.4317 0.7500 0.8633
La 0.5683 0.2500 0.1367
La 0.9301 0.2500 0.8602
La 0.0000 0.0000 0.5000
La 0.5000 0.0000 0.5000
La 0.0699 0.7500 0.1398
In 0.3855 0.2500 0.7710
In 0.6145 0.7500 0.2290
Sn 0.1142 0.2500 0.2284
Sn 0.8858 0.7500 0.7716
H 0.7068 0.2500 0.4137
H 0.2932 0.7500 0.5863

Calculated values
total moment = 0.01 Bohr magnetons per cell
energy = -4.79 eV per atom